[1]
# Ac3GaPt3 | the Alexandria database | GGA-PBE | relaxed
# E above lowest polymorph ... 0 meV per atom
data_Ac3GaPt3
_cell_length_a 11.898
_cell_length_b 4.281
_cell_length_c 15.549
_cell_angle_alpha 90.00
_cell_angle_beta 110.67
_cell_angle_gamma 90.00
_symmetry_space_group_name_H-M 'C 1 2/m 1'
_symmetry_Int_Tables_number 12
_symmetry_space_group_name_Hall '-C 2y'
loop_
_atom_site_label
_atom_site_type_symbol
_atom_site_fract_x
_atom_site_fract_y
_atom_site_fract_z
Ac1 Ac 0.025 0.000 0.384
Ac2 Ac 0.101 0.000 0.923
Ac3 Ac 0.235 0.000 0.230
Ga1 Ga 0.240 0.500 0.408
Pt1 Pt 0.029 0.500 0.237
Pt2 Pt 0.129 0.500 0.075
Pt3 Pt 0.137 0.500 0.548

=====

[2]
# TbHo7Th3 | the Alexandria database | GGA-PBE | relaxed
# E above lowest polymorph ... 0 meV per atom
data_TbHo7Th3
_cell_length_a 6.900
_cell_length_b 5.492
_cell_length_c 10.084
_cell_angle_alpha 90.00
_cell_angle_beta 109.89
_cell_angle_gamma 90.00
_symmetry_space_group_name_H-M 'P 1 2/m 1'
_symmetry_Int_Tables_number 10
_symmetry_space_group_name_Hall '-P 2y'
loop_
_atom_site_label
_atom_site_type_symbol
_atom_site_fract_x
_atom_site_fract_y
_atom_site_fract_z
Tb1 Tb 0.000 0.000 0.000
Ho1 Ho 0.086 0.000 0.671
Ho2 Ho 0.176 0.500 0.861
Ho3 Ho 0.361 0.500 0.208
Ho4 Ho 0.500 0.000 0.500
Th1 Th 0.222 0.500 0.500
Th2 Th 0.500 0.000 0.000

=====

[3]
VASP calculation (GGA-PBE) on a geometry-optimized Li3Ca4Hg2 structure.

Structure (CIF):
```
data_Li3Ca4Hg2
_cell_length_a 17.120
_cell_length_b 4.294
_cell_length_c 7.406
_cell_angle_alpha 90.00
_cell_angle_beta 107.46
_cell_angle_gamma 90.00
_symmetry_space_group_name_H-M 'C 1 2/m 1'
_symmetry_Int_Tables_number 12
_symmetry_space_group_name_Hall '-C 2y'
loop_
_atom_site_label
_atom_site_type_symbol
_atom_site_fract_x
_atom_site_fract_y
_atom_site_fract_z
Li1 Li 0.000 0.000 0.000
Li2 Li 0.100 0.000 0.715
Ca1 Ca 0.071 0.500 0.350
Ca2 Ca 0.234 0.000 0.216
Hg1 Hg 0.110 0.500 0.953
```

=====

Number 1: calculated formation energy -1.045 eV/atom, D(E_F) 16.53 states/eV/cell. Number 2: calculated formation energy 0.152 eV/atom, D(E_F) 14.55 states/eV/cell. Number 3: calculated formation energy -0.248 eV/atom, D(E_F) 13.73 states/eV/cell.